[1]
PrGaHRh2 | PBE-GGA | relaxed

Unit cell a=3.936 b=5.907 c=7.228 alpha=90.00 beta=90.00 gamma=109.46
Fractional coordinates of all 10 atoms:
Ga (0.279, 0.557, 0.250)
Rh (0.155, 0.310, 0.550)
Rh (0.845, 0.690, 0.450)
Rh (0.155, 0.310, 0.950)
Pr (0.557, 0.114, 0.250)
Ga (0.721, 0.443, 0.750)
Pr (0.443, 0.886, 0.750)
H (0.000, 0.000, 0.500)
H (0.000, 0.000, 0.000)
Rh (0.845, 0.690, 0.050)

Properties
Calculated density: 8.750 g cm⁻³
Raw total energy: -5.8129 eV per atom
Total moment: 0.00 μB per formula unit

---

[2]
LiGdGa4 | PBE-GGA | relaxed

Unit cell a=5.473 b=5.473 c=5.473 alpha=60.00 beta=60.00 gamma=60.00
Each line ends with the local moment (μB).
Fractional coordinates of all 6 atoms:
Ga (0.625, 0.625, 0.125)  0.00
Ga (0.125, 0.625, 0.625)  0.00
Gd (0.250, 0.250, 0.250)  7.08
Ga (0.625, 0.125, 0.625)  0.00
Ga (0.625, 0.625, 0.625)  0.00
Li (0.000, 0.000, 0.000)  0.00

Properties
Calculated density: 6.346 g cm⁻³
Energy relative to the elements: -0.368 eV/atom
Total moment: 7.28 μB per formula unit

---

[3]
Sn2PCl2 | PBE-GGA | relaxed

Unit cell a=5.571 b=5.571 c=5.864 alpha=61.64 beta=61.64 gamma=90.00
Fractional coordinates of all 5 atoms:
Sn (0.250, 0.750, 0.500)
Cl (0.663, 0.663, 0.674)
Cl (0.337, 0.337, 0.326)
P (0.000, 0.000, 0.000)
Sn (0.750, 0.250, 0.500)

Properties
Calculated density: 4.180 g cm⁻³
ΔE_f (raw): 152.7 meV per atom
Total moment: 0.00 μB per formula unit

---

[4]
Nd3Tm2Mg | PBE-GGA | relaxed

Unit cell a=3.633 b=3.633 c=14.392 alpha=90.00 beta=90.00 gamma=90.00
Fractional coordinates of all 6 atoms:
Tm (0.500, 0.500, 0.173)
Nd (0.000, 0.000, 0.000)
Mg (0.500, 0.500, 0.500)
Tm (0.500, 0.500, 0.827)
Nd (0.000, 0.000, 0.655)
Nd (0.000, 0.000, 0.345)

Properties
Calculated density: 6.949 g cm⁻³
Energy relative to the elements: -0.012 eV/atom
Total moment: 0.00 μB per formula unit

---

[5]
BaSi2Rh | PBE-GGA | relaxed

Unit cell a=4.887 b=4.887 c=4.887 alpha=60.00 beta=60.00 gamma=60.00
Fractional coordinates of all 4 atoms:
Si (0.250, 0.250, 0.250)
Si (0.000, 0.000, 0.000)
Ba (0.500, 0.500, 0.500)
Rh (0.750, 0.750, 0.750)

Properties
Calculated density: 5.965 g cm⁻³
ΔE_f (raw): 375.3 meV per atom
Total moment: 0.00 μB per formula unit

---

[6]
KPbCl2 | PBE-GGA | relaxed

Unit cell a=6.188 b=6.188 c=9.497 alpha=70.99 beta=70.99 gamma=90.00
Fractional coordinates of all 8 atoms:
Cl (0.375, 0.352, 0.750)
K (0.500, 0.500, 0.000)
Cl (0.875, 0.898, 0.750)
Cl (0.648, 0.125, 0.250)
Cl (0.102, 0.625, 0.250)
K (0.250, 0.750, 0.500)
Pb (0.750, 0.250, 0.500)
Pb (0.000, 0.000, 0.000)

Properties
Calculated density: 3.264 g cm⁻³
ΔE_f (raw): -1015.4 meV per atom
Total moment: 0.00 μB per formula unit
Energy above the lowest structure with this stoichiometry: 234 meV/atom

---

[7]
SmDyTm2Tl4 | PBE-GGA | relaxed

Unit cell a=5.360 b=5.360 c=9.314 alpha=73.28 beta=73.28 gamma=60.00
Fractional coordinates of all 8 atoms:
Tm (0.750, 0.750, 0.749)
Tl (0.874, 0.874, 0.378)
Tm (0.250, 0.250, 0.251)
Tl (0.624, 0.624, 0.128)
Dy (0.500, 0.500, 0.500)
Tl (0.126, 0.126, 0.622)
Sm (0.000, 0.000, 0.000)
Tl (0.376, 0.376, 0.872)

Properties
Calculated density: 11.155 g cm⁻³
Energy relative to the elements: -0.324 eV/atom
Total moment: 0.00 μB per formula unit

---

[8]
MgNbN3 | PBE-GGA | relaxed

Unit cell a=4.052 b=4.052 c=4.052 alpha=90.00 beta=90.00 gamma=90.00
Fractional coordinates of all 5 atoms:
Nb (0.000, 0.000, 0.000)
N (0.000, 0.500, 0.000)
N (0.500, 0.000, 0.000)
Mg (0.500, 0.500, 0.500)
N (0.000, 0.000, 0.500)

Properties
Calculated density: 3.975 g cm⁻³
ΔE_f (raw): 220.0 meV per atom
Total moment: 0.00 μB per formula unit

---

[9]
TmHgPdPb | PBE-GGA | relaxed

Unit cell a=5.035 b=5.035 c=5.035 alpha=60.00 beta=60.00 gamma=60.00
Fractional coordinates of all 4 atoms:
Pd (0.000, 0.000, 0.000)
Hg (0.500, 0.500, 0.500)
Tm (0.250, 0.250, 0.250)
Pb (0.750, 0.750, 0.750)

Properties
Calculated density: 12.565 g cm⁻³
Energy relative to the elements: -0.419 eV/atom
Total moment: 0.00 μB per formula unit

---

[10]
MnP3 | PBE-GGA | relaxed

Unit cell a=7.876 b=7.876 c=3.991 alpha=90.00 beta=90.00 gamma=120.00
Each line ends with the local moment (μB).
Fractional coordinates of all 8 atoms:
Mn (0.667, 0.333, 0.750)  3.16
P (0.762, 0.524, 0.250)  -0.01
P (0.238, 0.476, 0.750)  -0.01
P (0.238, 0.762, 0.750)  -0.01
P (0.762, 0.238, 0.250)  -0.01
Mn (0.333, 0.667, 0.250)  3.16
P (0.524, 0.762, 0.750)  -0.01
P (0.476, 0.238, 0.250)  -0.01

Properties
Calculated density: 2.290 g cm⁻³
Energy relative to the elements: 0.151 eV/atom
Total moment: 3.46 μB per formula unit
Energy above the lowest structure with this stoichiometry: 310 meV/atom

---

[11]
BeCrMo | PBE-GGA | relaxed

Unit cell a=3.996 b=3.996 c=3.996 alpha=60.00 beta=60.00 gamma=60.00
Each line ends with the local moment (μB).
Fractional coordinates of all 3 atoms:
Be (0.000, 0.000, 0.000)  -0.02
Cr (0.500, 0.500, 0.500)  1.45
Mo (0.750, 0.750, 0.750)  -0.67

Properties
Calculated density: 5.774 g cm⁻³
Energy relative to the elements: 1.010 eV/atom
Total moment: 0.75 μB per formula unit
Energy above the lowest structure with this stoichiometry: 943 meV/atom

---

Number 8 is which compound?
MgNbN3

---

Look up the calculated density of the eleventh one.
5.774 g cm⁻³